An optimized crystal structure of Li4Mn2Cr3Co3O16, computed with PBE+U.

The structure in POSCAR format:
```
Li4Mn2Cr3Co3O16
1.0
4.9808 -2.8909 0.0000
4.9808 2.8909 0.0000
-0.0172 0.0000 9.3167
Li Mn Cr Co O
4 2 3 3 16
direct
0.0000 0.0000 0.0000
0.0008 0.0008 0.5015
0.3477 0.3477 0.4055
0.6784 0.6784 0.8991
0.3438 0.3438 0.9854
0.6814 0.6814 0.4882
0.1761 0.1761 0.7107
0.3495 0.8401 0.2141
0.8401 0.3495 0.2141
0.1785 0.6672 0.7183
0.6672 0.1785 0.7183
0.8396 0.8396 0.2166
0.0048 0.0048 0.8123
0.0069 0.0069 0.3134
0.0522 0.4868 0.8436
0.1752 0.1752 0.1029
0.1748 0.6745 0.1044
0.3410 0.8478 0.6075
0.3461 0.3461 0.6112
0.4868 0.0522 0.8436
0.4890 0.4890 0.8427
0.5326 0.5326 0.3489
0.5357 0.9723 0.3457
0.6745 0.1748 0.1044
0.6801 0.6801 0.1057
0.8432 0.8432 0.6066
0.8478 0.3410 0.6075
0.9723 0.5357 0.3457
```

Properties
energy	-6.52	eV per atom
symmetry	Cm (8)